# 1
# Nd8SmY4 (PBE, relaxed)
# - M_tot: 0.00 Bohr magnetons per cell
# - Crystal system: trigonal
# - E_form: 0.4844 eV per atom
data_Nd8SmY4
_cell_length_a 11.3083
_cell_length_b 11.3083
_cell_length_c 13.5490
_cell_angle_alpha 90.00
_cell_angle_beta 90.00
_cell_angle_gamma 120.00
_symmetry_space_group_name_H-M 'R -3 m'
_symmetry_Int_Tables_number 166
_symmetry_space_group_name_Hall '-R 3 2"'
loop_
_atom_site_label
_atom_site_type_symbol
_atom_site_fract_x
_atom_site_fract_y
_atom_site_fract_z
Nd1 Nd 0.0000 0.0000 0.2387
Nd2 Nd 0.0111 0.5056 0.7427
Sm1 Sm 0.0000 0.0000 0.5000
Y1 Y 0.0000 0.0000 0.0000
Y2 Y 0.0000 0.5000 0.0000

# 2
# Nd12Sm2Y5 (PBE, relaxed)
# - M_tot: 0.00 Bohr magnetons per cell
# - Crystal system: monoclinic
# - E_form: 0.1273 eV per atom
# - Energy above the lowest structure with this stoichiometry: 35 meV/atom
data_Nd12Sm2Y5
_cell_length_a 22.4693
_cell_length_b 7.1788
_cell_length_c 8.8173
_cell_angle_alpha 90.00
_cell_angle_beta 110.01
_cell_angle_gamma 90.00
_symmetry_space_group_name_H-M 'C 1 2/m 1'
_symmetry_Int_Tables_number 12
_symmetry_space_group_name_Hall '-C 2y'
loop_
_atom_site_label
_atom_site_type_symbol
_atom_site_fract_x
_atom_site_fract_y
_atom_site_fract_z
Nd1 Nd 0.0480 0.0000 0.1932
Nd2 Nd 0.1064 0.2430 0.8859
Nd3 Nd 0.1450 0.5000 0.5651
Nd4 Nd 0.1993 0.2468 0.2932
Sm1 Sm 0.0000 0.2449 0.5000
Y1 Y 0.0000 0.5000 0.0000
Y2 Y 0.1516 0.0000 0.5977
Y3 Y 0.2489 0.5000 0.9912

Which of these has the highest E_form?
Nd8SmY4

Among the records above, which one has the lowest E_form?
Nd12Sm2Y5

Repeat the first record exactly.
# Nd8SmY4 (PBE, relaxed)
# - M_tot: 0.00 Bohr magnetons per cell
# - Crystal system: trigonal
# - E_form: 0.4844 eV per atom
data_Nd8SmY4
_cell_length_a 11.3083
_cell_length_b 11.3083
_cell_length_c 13.5490
_cell_angle_alpha 90.00
_cell_angle_beta 90.00
_cell_angle_gamma 120.00
_symmetry_space_group_name_H-M 'R -3 m'
_symmetry_Int_Tables_number 166
_symmetry_space_group_name_Hall '-R 3 2"'
loop_
_atom_site_label
_atom_site_type_symbol
_atom_site_fract_x
_atom_site_fract_y
_atom_site_fract_z
Nd1 Nd 0.0000 0.0000 0.2387
Nd2 Nd 0.0111 0.5056 0.7427
Sm1 Sm 0.0000 0.0000 0.5000
Y1 Y 0.0000 0.0000 0.0000
Y2 Y 0.0000 0.5000 0.0000

Which value of E_form does entry 2 give?
0.1273 eV per atom